Record 1
# SrSc3Ge | Alexandria via LeMat-Bulk | GGA-PBEsol | relaxed
# **Energy of formation**: -43 meV per atom
# **N(E_F)**: 9.24 states/eV per cell
data_SrSc3Ge
_chemical_formula_sum 'Sr1 Sc3 Ge1'
_symmetry_space_group_name_H-M 'P m -3 m'
_symmetry_Int_Tables_number 221
_symmetry_space_group_name_Hall '-P 4 2 3'
_cell_length_a 5.236
_cell_length_b 5.236
_cell_length_c 5.236
_cell_angle_alpha 90.00
_cell_angle_beta 90.00
_cell_angle_gamma 90.00
loop_
_atom_site_label
_atom_site_type_symbol
_atom_site_fract_x
_atom_site_fract_y
_atom_site_fract_z
Sr1 Sr 0.000 0.000 0.000
Sc1 Sc 0.000 0.500 0.500
Ge1 Ge 0.500 0.500 0.500

---

Record 2
# ScTaGe3 | Alexandria via LeMat-Bulk | GGA-PBEsol | relaxed
# **Energy of formation**: 1160 meV per atom
# **N(E_F)**: 4.29 states/eV per cell
data_ScTaGe3
_chemical_formula_sum 'Sc1 Ta1 Ge3'
_symmetry_space_group_name_H-M 'P m -3 m'
_symmetry_Int_Tables_number 221
_symmetry_space_group_name_Hall '-P 4 2 3'
_cell_length_a 4.807
_cell_length_b 4.807
_cell_length_c 4.807
_cell_angle_alpha 90.00
_cell_angle_beta 90.00
_cell_angle_gamma 90.00
loop_
_atom_site_label
_atom_site_type_symbol
_atom_site_fract_x
_atom_site_fract_y
_atom_site_fract_z
Sc1 Sc 0.000 0.000 0.000
Ta1 Ta 0.500 0.500 0.500
Ge1 Ge 0.000 0.000 0.500

---

Record 3
# TbScGe | Alexandria via LeMat-Bulk | GGA-PBEsol | relaxed
# **Energy of formation**: -764 meV per atom
# **N(E_F)**: 15.21 states/eV per cell
data_TbScGe
_chemical_formula_sum 'Tb4 Sc4 Ge4'
_symmetry_space_group_name_H-M 'I 4/m m m'
_symmetry_Int_Tables_number 139
_symmetry_space_group_name_Hall '-I 4 2'
_cell_length_a 4.191
_cell_length_b 4.191
_cell_length_c 15.372
_cell_angle_alpha 90.00
_cell_angle_beta 90.00
_cell_angle_gamma 90.00
loop_
_atom_site_label
_atom_site_type_symbol
_atom_site_fract_x
_atom_site_fract_y
_atom_site_fract_z
Tb1 Tb 0.000 0.000 0.177
Sc1 Sc 0.000 0.500 0.000
Ge1 Ge 0.000 0.000 0.371

---

Record 4
# Sc2TcGe2 | Alexandria via LeMat-Bulk | GGA-PBEsol | relaxed
# **Energy of formation**: -756 meV per atom
# **N(E_F)**: 5.02 states/eV per cell
data_Sc2TcGe2
_chemical_formula_sum 'Sc4 Tc2 Ge4'
_symmetry_space_group_name_H-M 'P 4/m b m'
_symmetry_Int_Tables_number 127
_symmetry_space_group_name_Hall '-P 4 2ab'
_cell_length_a 6.629
_cell_length_b 6.629
_cell_length_c 3.848
_cell_angle_alpha 90.00
_cell_angle_beta 90.00
_cell_angle_gamma 90.00
loop_
_atom_site_label
_atom_site_type_symbol
_atom_site_fract_x
_atom_site_fract_y
_atom_site_fract_z
Sc1 Sc 0.174 0.326 0.000
Tc1 Tc 0.000 0.000 0.500
Ge1 Ge 0.133 0.633 0.500

---

Record 5
# Sc2V3Ge4 | Alexandria via LeMat-Bulk | GGA-PBEsol | relaxed
# **Energy of formation**: -697 meV per atom
# **N(E_F)**: 17.91 states/eV per cell
data_Sc2V3Ge4
_chemical_formula_sum 'Sc8 V12 Ge16'
_symmetry_space_group_name_H-M 'P n m a'
_symmetry_Int_Tables_number 62
_cell_length_a 6.545
_cell_length_b 12.616
_cell_length_c 6.689
_cell_angle_alpha 90.00
_cell_angle_beta 90.00
_cell_angle_gamma 90.00
loop_
_symmetry_equiv_pos_as_xyz
'x,y,z'
'-x,-y,-z'
'-x+1/2,-y,z+1/2'
'x+1/2,y,-z+1/2'
'x+1/2,-y+1/2,-z+1/2'
'-x+1/2,y+1/2,z+1/2'
'-x,y+1/2,-z'
'x,-y+1/2,z'
loop_
_atom_site_label
_atom_site_type_symbol
_atom_site_fract_x
_atom_site_fract_y
_atom_site_fract_z
Sc1 Sc 0.009 0.093 0.174
V1 V 0.159 0.628 0.334
V2 V 0.164 0.250 0.515
Ge1 Ge 0.036 0.250 0.878
Ge2 Ge 0.177 0.043 0.542
Ge3 Ge 0.190 0.750 0.646

---

Record 6
# YScGe3 | Alexandria via LeMat-Bulk | GGA-PBEsol | relaxed
# **Energy of formation**: 518 meV per atom
# **N(E_F)**: 2.37 states/eV per cell
data_YScGe3
_chemical_formula_sum 'Y1 Sc1 Ge3'
_symmetry_space_group_name_H-M 'P m -3 m'
_symmetry_Int_Tables_number 221
_symmetry_space_group_name_Hall '-P 4 2 3'
_cell_length_a 5.153
_cell_length_b 5.153
_cell_length_c 5.153
_cell_angle_alpha 90.00
_cell_angle_beta 90.00
_cell_angle_gamma 90.00
loop_
_atom_site_label
_atom_site_type_symbol
_atom_site_fract_x
_atom_site_fract_y
_atom_site_fract_z
Y1 Y 0.000 0.000 0.000
Sc1 Sc 0.500 0.500 0.500
Ge1 Ge 0.000 0.000 0.500

---

Record 7
# Y2ScGe2 | Alexandria via LeMat-Bulk | GGA-PBEsol | relaxed
# **Energy of formation**: -901 meV per atom
# **N(E_F)**: 7.80 states/eV per cell
data_Y2ScGe2
_chemical_formula_sum 'Y4 Sc2 Ge4'
_symmetry_space_group_name_H-M 'P 4/m b m'
_symmetry_Int_Tables_number 127
_symmetry_space_group_name_Hall '-P 4 2ab'
_cell_length_a 7.254
_cell_length_b 7.254
_cell_length_c 4.205
_cell_angle_alpha 90.00
_cell_angle_beta 90.00
_cell_angle_gamma 90.00
loop_
_atom_site_label
_atom_site_type_symbol
_atom_site_fract_x
_atom_site_fract_y
_atom_site_fract_z
Y1 Y 0.174 0.326 0.000
Sc1 Sc 0.000 0.000 0.500
Ge1 Ge 0.128 0.628 0.500

---

Record 8
# Sc3ZnGe | Alexandria via LeMat-Bulk | GGA-PBEsol | relaxed
# **Distance to the lowest polymorph of the same formula**: 0.000 eV/f.u.
# **Energy of formation**: 29 meV per atom
# **N(E_F)**: 10.34 states/eV per cell
data_Sc3ZnGe
_chemical_formula_sum 'Sc3 Zn1 Ge1'
_symmetry_space_group_name_H-M 'P m -3 m'
_symmetry_Int_Tables_number 221
_symmetry_space_group_name_Hall '-P 4 2 3'
_cell_length_a 4.990
_cell_length_b 4.990
_cell_length_c 4.990
_cell_angle_alpha 90.00
_cell_angle_beta 90.00
_cell_angle_gamma 90.00
loop_
_atom_site_label
_atom_site_type_symbol
_atom_site_fract_x
_atom_site_fract_y
_atom_site_fract_z
Sc1 Sc 0.000 0.000 0.500
Zn1 Zn 0.500 0.500 0.500
Ge1 Ge 0.000 0.000 0.000